Entry 1:
Density functional theory data (GGA-PBE) for a geometry-optimized Pr7Sm3Ho2 structure.

Lattice parameters (Å, degrees): 3.6002 6.5537 18.3785 75.14 90.00 90.00
Fractional coordinates of all 12 atoms:
Sm: 0.0000 0.8838 0.6609
Sm: 0.5000 0.5000 0.0000
Sm: 0.0000 0.1162 0.3391
Pr: 0.0000 0.0000 0.0000
Pr: 0.5000 0.0518 0.1713
Pr: 0.0000 0.5567 0.1688
Pr: 0.0000 0.4433 0.8312
Pr: 0.5000 0.9482 0.8287
Pr: 0.5000 0.7627 0.4936
Pr: 0.5000 0.2373 0.5064
Ho: 0.5000 0.6114 0.3303
Ho: 0.5000 0.3886 0.6697

Computed properties:
* energy of formation from the pure elements: 0.073 eV per atom
* spin magnetization: 0.0 Bohr magnetons per cell

=====

Entry 2:
Density functional theory data (GGA-PBE) for a geometry-optimized Tb6ErSc structure.

Lattice parameters (Å, degrees): 4.9779 4.9779 9.9287 90.00 90.00 90.00
Fractional coordinates of all 8 atoms:
Er: 0.0000 0.0000 0.0000
Tb: 0.0000 0.5000 0.2544
Tb: 0.5000 0.5000 0.5000
Tb: 0.5000 0.0000 0.7456
Tb: 0.5000 0.0000 0.2544
Tb: 0.5000 0.5000 0.0000
Tb: 0.0000 0.5000 0.7456
Sc: 0.0000 0.0000 0.5000

Computed properties:
* energy of formation from the pure elements: 0.030 eV per atom
* spin magnetization: 0.0 Bohr magnetons per cell

=====

Entry 3:
Density functional theory data (GGA-PBE) for a geometry-optimized Tm2HgPd4 structure.

Lattice parameters (Å, degrees): 4.0469 4.0469 9.6427 102.11 102.11 90.00
Fractional coordinates of all 7 atoms:
Pd: 0.2500 0.7500 0.5000
Pd: 0.8552 0.8552 0.7105
Pd: 0.1448 0.1448 0.2895
Pd: 0.7500 0.2500 0.5000
Tm: 0.3660 0.3660 0.7320
Tm: 0.6340 0.6340 0.2680
Hg: 0.0000 0.0000 0.0000

Computed properties:
* energy of formation from the pure elements: -0.711 eV per atom
* spin magnetization: 0.0 Bohr magnetons per cell

=====

Entry 4:
Density functional theory data (GGA-PBE) for a geometry-optimized Mg2Sc3WS8 structure.

Lattice parameters (Å, degrees): 7.4616 7.4616 7.4616 60.78 60.78 60.78
Fractional coordinates of all 14 atoms:
Sc: 0.0000 0.5000 0.5000
Sc: 0.5000 0.5000 0.0000
Sc: 0.5000 0.0000 0.5000
S: 0.2631 0.2631 0.7259
S: 0.7259 0.2631 0.2631
S: 0.2588 0.2588 0.2588
S: 0.7369 0.7369 0.2741
S: 0.2741 0.7369 0.7369
S: 0.2631 0.7259 0.2631
S: 0.7369 0.2741 0.7369
S: 0.7412 0.7412 0.7412
Mg: 0.8740 0.8740 0.8740
Mg: 0.1260 0.1260 0.1260
W: 0.5000 0.5000 0.5000

Computed properties:
* electronic total energy: -0.2317 hartree per atom
* spin magnetization: 2.9 Bohr magnetons per cell

=====

Entry 5:
Density functional theory data (GGA-PBE) for a geometry-optimized YHoGe2Pt5 structure.

Lattice parameters (Å, degrees): 4.2453 4.2453 9.0662 90.00 90.00 90.00
Fractional coordinates of all 9 atoms:
Y: 0.0000 0.0000 0.5000
Pt: 0.5000 0.5000 0.5000
Pt: 0.0000 0.5000 0.7271
Pt: 0.0000 0.5000 0.2729
Pt: 0.5000 0.0000 0.2729
Pt: 0.5000 0.0000 0.7271
Ho: 0.0000 0.0000 0.0000
Ge: 0.5000 0.5000 0.1332
Ge: 0.5000 0.5000 0.8668

Computed properties:
* energy of formation from the pure elements: -0.933 eV per atom
* spin magnetization: 0.0 Bohr magnetons per cell

=====

Entry 6:
Density functional theory data (GGA-PBE) for a geometry-optimized Ac6GeAs2Se3 structure.

Lattice parameters (Å, degrees): 4.5395 9.0477 10.1340 102.80 102.94 90.00
Fractional coordinates of all 12 atoms:
Ac: 0.6634 0.0871 0.3268
Ac: 0.3366 0.9129 0.6732
Ac: 0.9982 0.7575 0.9965
Ac: 0.6684 0.5779 0.3368
Ac: 0.3316 0.4221 0.6632
Ac: 0.0018 0.2425 0.0035
Se: 0.8325 0.1680 0.6650
Se: 0.1675 0.8320 0.3350
Se: 0.5000 0.5000 0.0000
As: 0.8323 0.6649 0.6646
As: 0.1677 0.3351 0.3354
Ge: 0.5000 0.0000 0.0000

Computed properties:
* electronic total energy: -0.2097 hartree per atom
* spin magnetization: 0.0 Bohr magnetons per cell

=====

Entry 7:
Density functional theory data (GGA-PBE) for a geometry-optimized K2TcPbO4 structure.

Lattice parameters (Å, degrees): 5.8793 5.8793 5.8793 98.43 115.26 115.26
Fractional coordinates of all 8 atoms:
Pb: 0.5000 0.2500 0.7500
O: 0.0398 0.2411 0.6409
O: 0.3998 0.7986 0.7589
O: 0.9602 0.6012 0.2014
O: 0.6002 0.3591 0.3988
K: 0.5000 0.7500 0.2500
K: 0.0000 0.0000 0.0000
Tc: 0.0000 0.5000 0.5000

Computed properties:
* electronic total energy: -0.2121 hartree per atom
* spin magnetization: 0.9 Bohr magnetons per cell

=====

Entry 8:
Density functional theory data (GGA-PBE) for a geometry-optimized VAgSb2 structure.

Lattice parameters (Å, degrees): 4.9526 4.9526 4.9526 60.00 60.00 60.00
Fractional coordinates of all 4 atoms:
V: 0.0000 0.0000 0.0000
Sb: 0.2500 0.2500 0.2500
Sb: 0.7500 0.7500 0.7500
Ag: 0.5000 0.5000 0.5000

Computed properties:
* electronic total energy: -0.1753 hartree per atom
* spin magnetization: 3.0 Bohr magnetons per cell

=====

Entry 9:
Density functional theory data (GGA-PBE) for a geometry-optimized CaNi5Sn2 structure.

Lattice parameters (Å, degrees): 3.7664 6.4881 6.4881 62.20 73.13 73.13
Fractional coordinates of all 8 atoms:
Ni: 0.0000 0.5000 0.5000
Ni: 0.6178 0.5663 0.1981
Ni: 0.6178 0.1981 0.5663
Ni: 0.3822 0.8019 0.4337
Ni: 0.3822 0.4337 0.8019
Sn: 0.7535 0.7465 0.7465
Sn: 0.2465 0.2535 0.2535
Ca: 0.0000 0.0000 0.0000

Computed properties:
* energy of formation from the pure elements: -0.162 eV per atom
* spin magnetization: 0.0 Bohr magnetons per cell

=====

Entry 10:
Density functional theory data (GGA-PBE) for a geometry-optimized BaTc2Pb structure.

Lattice parameters (Å, degrees): 9.6168 9.6168 9.6168 19.92 19.92 19.92
Fractional coordinates of all 4 atoms:
Pb: 0.7500 0.7500 0.7500
Ba: 0.2500 0.2500 0.2500
Tc: 0.0103 0.0103 0.0103
Tc: 0.4897 0.4897 0.4897

Computed properties:
* energy of formation from the pure elements: 1.195 eV per atom
* spin magnetization: 0.8 Bohr magnetons per cell

=====

Entry 11:
Density functional theory data (GGA-PBE) for a geometry-optimized CuReHg2 structure.

Lattice parameters (Å, degrees): 4.6540 4.6540 4.6540 60.00 60.00 60.00
Fractional coordinates of all 4 atoms:
Cu: 0.0000 0.0000 0.0000
Hg: 0.7500 0.7500 0.7500
Hg: 0.2500 0.2500 0.2500
Re: 0.5000 0.5000 0.5000

Computed properties:
* energy of formation from the pure elements: 0.919 eV per atom
* spin magnetization: 1.9 Bohr magnetons per cell

=====

Entry 12:
Density functional theory data (GGA-PBE) for a geometry-optimized LiPrI2 structure.

Lattice parameters (Å, degrees): 4.0796 4.0796 8.5797 76.25 76.25 60.00
Fractional coordinates of all 4 atoms:
Pr: 0.5010 0.5010 0.4971
I: 0.0722 0.0722 0.7835
I: 0.2618 0.2618 0.2146
Li: 0.6651 0.6651 0.0048

Computed properties:
* electronic total energy: -0.1270 hartree per atom
* spin magnetization: 0.0 Bohr magnetons per cell

=====

Entry 13:
Density functional theory data (GGA-PBE) for a geometry-optimized TiTcAu2 structure.

Lattice parameters (Å, degrees): 3.7746 3.7746 10.2563 79.40 79.40 90.00
Fractional coordinates of all 8 atoms:
Au: 0.6271 0.1250 0.2500
Au: 0.8750 0.8771 0.7500
Au: 0.1229 0.6250 0.2500
Au: 0.3750 0.3729 0.7500
Tc: 0.7500 0.2500 0.5000
Tc: 0.0000 0.0000 0.0000
Ti: 0.2500 0.7500 0.5000
Ti: 0.5000 0.5000 0.0000

Computed properties:
* energy of formation from the pure elements: 0.252 eV per atom
* spin magnetization: 0.0 Bohr magnetons per cell

=====

Entry 14:
Density functional theory data (GGA-PBE) for a geometry-optimized Be2CoSi structure.

Lattice parameters (Å, degrees): 4.1245 4.1245 3.3430 66.09 66.09 47.82
Fractional coordinates of all 4 atoms:
Co: 0.5000 0.5000 0.5000
Be: 0.7499 0.7499 0.7499
Be: 0.0001 0.0001 0.0000
Si: 0.2500 0.2500 0.2500

Computed properties:
* electronic total energy: -0.1952 hartree per atom
* spin magnetization: 0.0 Bohr magnetons per cell

=====

Entry 15:
Density functional theory data (GGA-PBE) for a geometry-optimized Al2CuAgAu5 structure.

Lattice parameters (Å, degrees): 7.4856 7.4856 7.8306 118.55 118.55 90.00
Fractional coordinates of all 18 atoms:
Au: 0.0663 0.5663 0.7336
Au: 0.8326 0.9337 0.2664
Au: 0.5663 0.6674 0.7336
Au: 0.9337 0.4337 0.2664
Au: 0.1674 0.0663 0.7336
Au: 0.0000 0.0000 0.0000
Au: 0.4337 0.3326 0.2664
Au: 0.6674 0.1674 0.7336
Au: 0.3326 0.8326 0.2664
Au: 0.5000 0.5000 0.0000
Al: 0.6166 0.1166 0.0000
Al: 0.1166 0.3834 0.0000
Al: 0.8834 0.6166 0.0000
Al: 0.3834 0.8834 0.0000
Ag: 0.7500 0.7500 0.5000
Ag: 0.2500 0.2500 0.5000
Cu: 0.2500 0.7500 0.5000
Cu: 0.7500 0.2500 0.5000

Computed properties:
* energy of formation from the pure elements: -0.007 eV per atom
* spin magnetization: 0.0 Bohr magnetons per cell

=====

Entry 16:
Density functional theory data (GGA-PBE) for a geometry-optimized HoScGa structure.

Lattice parameters (Å, degrees): 3.4248 3.4248 14.4149 90.00 90.00 120.00
Fractional coordinates of all 6 atoms:
Ho: 0.3333 0.6667 0.3987
Ho: 0.6667 0.3333 0.6013
Ga: 0.6667 0.3333 0.9364
Ga: 0.3333 0.6667 0.0636
Sc: 0.3333 0.6667 0.7906
Sc: 0.6667 0.3333 0.2094

Computed properties:
* energy of formation from the pure elements: -0.128 eV per atom
* spin magnetization: 0.7 Bohr magnetons per cell

=====

Entry 17:
Density functional theory data (GGA-PBE) for a geometry-optimized La2Tl2Sn structure.

Lattice parameters (Å, degrees): 8.3628 8.3628 4.7411 90.00 90.00 90.00
Fractional coordinates of all 10 atoms:
Tl: 0.3422 0.1578 0.5000
Tl: 0.1578 0.6578 0.5000
Tl: 0.6578 0.8422 0.5000
Tl: 0.8422 0.3422 0.5000
La: 0.3553 0.8553 0.0000
La: 0.1447 0.3553 0.0000
La: 0.8553 0.6447 0.0000
La: 0.6447 0.1447 0.0000
Sn: 0.5000 0.5000 0.0000
Sn: 0.0000 0.0000 0.0000

Computed properties:
* energy of formation from the pure elements: -0.270 eV per atom
* spin magnetization: 0.0 Bohr magnetons per cell

=====

Entry 18:
Density functional theory data (GGA-PBE) for a geometry-optimized BaGaSCl2 structure.

Lattice parameters (Å, degrees): 5.9655 5.9655 6.1085 90.00 90.00 90.00
Fractional coordinates of all 5 atoms:
Cl: 0.0000 0.5000 0.0000
Cl: 0.5000 0.0000 0.0000
S: 0.0000 0.0000 0.5000
Ga: 0.5000 0.5000 0.5000
Ba: 0.0000 0.0000 0.0000

Computed properties:
* electronic total energy: -0.1265 hartree per atom
* spin magnetization: 1.0 Bohr magnetons per cell

=====

Entry 19:
Density functional theory data (GGA-PBE) for a geometry-optimized SmFe3Ru3 structure.

Lattice parameters (Å, degrees): 6.3582 6.3582 6.3582 90.00 90.00 90.00
Fractional coordinates of all 14 atoms:
Fe: 0.5000 0.7500 0.0000
Fe: 0.7500 0.0000 0.5000
Fe: 0.2500 0.0000 0.5000
Fe: 0.5000 0.2500 0.0000
Fe: 0.0000 0.5000 0.7500
Fe: 0.0000 0.5000 0.2500
Ru: 0.0000 0.7500 0.5000
Ru: 0.5000 0.0000 0.7500
Ru: 0.0000 0.2500 0.5000
Ru: 0.5000 0.0000 0.2500
Ru: 0.2500 0.5000 0.0000
Ru: 0.7500 0.5000 0.0000
Sm: 0.5000 0.5000 0.5000
Sm: 0.0000 0.0000 0.0000

Computed properties:
* energy of formation from the pure elements: 0.564 eV per atom
* spin magnetization: 0.0 Bohr magnetons per cell

=====

Entry 20:
Density functional theory data (GGA-PBE) for a geometry-optimized As2OsPt structure.

Lattice parameters (Å, degrees): 4.7156 2.7381 5.0650 90.94 90.00 90.00
Fractional coordinates of all 4 atoms:
Pt: 0.5000 0.7500 0.7500
Os: 0.5000 0.2500 0.2500
As: 0.0000 0.1464 0.0007
As: 0.0000 0.3536 0.4993

Computed properties:
* energy of formation from the pure elements: 0.459 eV per atom
* spin magnetization: 0.0 Bohr magnetons per cell

=====

Entry 21:
Density functional theory data (GGA-PBE) for a geometry-optimized SiTc2Ir structure.

Lattice parameters (Å, degrees): 4.7263 4.7263 4.5354 81.16 81.16 34.29
Fractional coordinates of all 4 atoms:
Tc: 0.4969 0.4969 0.4961
Tc: 0.0031 0.0031 0.0039
Ir: 0.7500 0.7500 0.7500
Si: 0.2500 0.2500 0.2500

Computed properties:
* electronic total energy: -0.3271 hartree per atom
* spin magnetization: 0.0 Bohr magnetons per cell

=====

Entry 22:
Density functional theory data (GGA-PBE) for a geometry-optimized Nd2YPuSe4 structure.

Lattice parameters (Å, degrees): 4.1483 7.2218 7.2576 109.11 90.00 90.00
Fractional coordinates of all 8 atoms:
Pu: 0.5000 0.5000 0.0000
Nd: 0.5000 0.0000 0.5000
Nd: 0.0000 0.5000 0.5000
Se: 0.0000 0.7487 0.2405
Se: 0.5000 0.2444 0.2390
Se: 0.0000 0.2513 0.7595
Se: 0.5000 0.7556 0.7610
Y: 0.0000 0.0000 0.0000

Computed properties:
* electronic total energy: -0.2681 hartree per atom
* spin magnetization: 5.8 Bohr magnetons per cell